This record from Alexandria via LeMat-Bulk describes SrAlAu2 after structural relaxation. The functional is PBE.

## Properties
SG   F-43m

Cell and atoms, written as extended XYZ:
```
4
Lattice="5.009 0.000 0.000 2.504 4.338 0.000 2.504 1.446 4.090" Properties=species:S:1:pos:R:3 pbc="T T T"
Al 5.009 2.892 2.045
Au 2.504 1.446 1.022
Au 0.000 0.000 0.000
Sr 7.513 4.338 3.067
```

=====

This record from Alexandria via LeMat-Bulk describes SrAl5Au6 after structural relaxation. The functional is PBE.

## Properties
SG   C2/m

Cell and atoms, written as extended XYZ:
```
12
Lattice="-2.742 -3.183 -0.491 0.589 0.586 -7.088 7.044 -3.647 2.525" Properties=species:S:1:pos:R:3 pbc="T T T"
Al 0.549 -2.514 -4.987
Al 0.766 -3.333 -0.885
Al 4.342 -3.730 -0.066
Al 4.125 -2.911 -4.168
Al 0.294 0.293 -3.544
Au 5.517 -4.356 -2.572
Au 2.690 -1.384 -6.052
Au 2.328 -1.552 -2.942
Au 2.201 -4.860 0.998
Au 2.563 -4.692 -2.112
Au -0.627 -1.888 -2.481
Sr 0.000 0.000 0.000
```

=====

This record from Alexandria via LeMat-Bulk describes Sr2AlAu3 after structural relaxation. The functional is PBE.

## Properties
SG   Fmmm

Cell and atoms, written as extended XYZ:
```
12
Lattice="-1.322 -4.610 -4.031 4.880 2.397 -3.112 3.189 -3.815 7.571" Properties=species:S:1:pos:R:3 pbc="T T T"
Al 3.311 -3.280 2.665
Al 3.436 -2.748 -2.238
Sr 1.823 -4.766 -0.016
Sr 2.707 -1.684 -5.435
Sr 0.851 -0.529 -1.708
Sr 4.924 -1.262 0.443
Au 2.646 -5.692 3.081
Au 4.101 -0.336 -2.654
Au 5.002 -4.300 -0.977
Au 5.542 -2.420 3.510
Au 1.205 -3.608 -3.083
Au 1.744 -1.728 1.404
```

=====

This record from Alexandria via LeMat-Bulk describes SrAlAu2 after structural relaxation. The functional is PBE.

## Properties
SG   P4/mmm

Cell and atoms, written as extended XYZ:
```
4
Lattice="4.861 0.005 -0.006 -0.005 4.861 -0.006 0.007 0.007 3.838" Properties=species:S:1:pos:R:3 pbc="T T T"
Au 0.000 0.000 0.000
Au 2.428 2.433 -0.006
Al 0.001 2.434 1.916
Sr 2.434 0.006 1.916
```

=====

This record from Alexandria via LeMat-Bulk describes Sr4Al5Au6 after structural relaxation. The functional is PBE.

## Properties
SG   Cmc2_1

Cell and atoms, written as extended XYZ:
```
30
Lattice="4.411 0.000 0.000 -2.206 10.293 0.000 0.000 0.000 16.382" Properties=species:S:1:pos:R:3 pbc="T T T"
Sr 0.000 3.562 5.088
Sr 2.206 6.479 7.261
Sr 2.206 10.168 0.107
Sr 0.000 0.396 12.552
Sr 0.000 3.814 15.452
Sr 2.206 9.897 4.361
Sr 0.000 0.125 8.298
Sr 2.206 6.730 13.278
Al 2.206 2.954 8.115
Al 0.000 8.977 10.724
Al 2.206 3.192 12.451
Al 0.000 6.176 10.184
Al 2.206 7.431 2.115
Al 0.000 7.338 16.306
Al 2.206 4.117 1.993
Al 2.206 1.316 2.533
Al 0.000 2.862 10.306
Al 0.000 7.101 4.260
Au 0.000 8.828 2.176
Au 2.206 1.358 6.047
Au 2.206 7.727 10.270
Au 0.000 8.934 14.238
Au 2.206 5.752 4.040
Au 0.000 4.355 8.274
Au 0.000 8.697 6.345
Au 0.000 4.540 12.231
Au 2.206 1.596 14.536
Au 0.000 2.566 2.080
Au 2.206 5.937 0.084
Au 2.206 1.465 10.367
```

=====

This record from Alexandria via LeMat-Bulk describes SrAl2Au after structural relaxation. The functional is PBE.

## Properties
SG   Pnma

Cell and atoms, written as extended XYZ:
```
32
Lattice="-0.362 -2.913 -5.399 6.968 -1.888 0.552 -4.361 -13.830 7.753" Properties=species:S:1:pos:R:3 pbc="T T T"
Al 5.114 -7.178 0.130
Al -1.669 -7.307 1.977
Al 6.061 -4.681 -3.455
Al 1.784 -6.628 -3.441
Al 3.443 -3.972 -3.662
Al 0.462 -12.002 6.346
Al -0.859 -5.912 -3.650
Al 2.471 -6.462 -0.079
Al -1.197 -14.658 6.567
Al -2.868 -11.452 2.775
Al 3.104 -12.718 6.555
Al -0.226 -12.168 2.984
Al 0.949 -8.016 2.184
Al -3.815 -13.949 6.360
Al 1.297 -10.614 0.721
Al 3.914 -11.323 0.928
Sr -2.425 -14.945 3.246
Sr 1.276 -14.839 4.376
Sr 2.518 -10.377 3.948
Sr 3.280 -9.342 -2.128
Sr -1.034 -9.288 5.033
Sr -0.273 -8.253 -1.043
Sr 4.671 -3.685 -0.341
Sr 0.970 -3.791 -1.470
Au 1.181 -14.250 7.587
Au 4.146 -6.187 -2.277
Au 0.270 -5.604 1.165
Au 1.975 -13.026 1.740
Au 3.183 -8.773 1.044
Au -1.901 -12.443 5.182
Au 1.065 -4.380 -4.682
Au -0.937 -9.857 1.861
```

=====

This record from Alexandria via LeMat-Bulk describes SrAl2Au after structural relaxation. The functional is PBE.

## Properties
SG   P4/mmm

Cell and atoms, written as extended XYZ:
```
4
Lattice="4.371 0.118 0.000 -0.121 4.371 0.000 0.000 0.000 4.783" Properties=species:S:1:pos:R:3 pbc="T T T"
Al 0.000 0.000 0.000
Al 2.125 2.244 0.000
Sr -0.060 2.185 2.391
Au 2.185 0.059 2.391
```

=====

This record from Alexandria via LeMat-Bulk describes Sr2AlAu7 after structural relaxation. The functional is PBE.

## Properties
SG   P-4m2

Cell and atoms, written as extended XYZ:
```
10
Lattice="-3.338 -2.672 0.402 2.541 -3.321 -0.976 2.676 -1.517 12.132" Properties=species:S:1:pos:R:3 pbc="T T T"
Sr 1.953 -2.048 2.607
Sr 0.324 -2.466 9.238
Al -0.398 -2.997 -0.287
Au 3.003 -2.643 7.367
Au 3.581 -2.971 9.988
Au 1.338 -0.759 6.066
Au 0.000 0.000 0.000
Au -1.303 -1.543 1.857
Au -0.725 -1.871 4.478
Au 0.940 -3.755 5.779
```

=====

This record from Alexandria via LeMat-Bulk describes Sr3Al6Au5 after structural relaxation. The functional is PBE.

## Properties
SG   Pmmn

Cell and atoms, written as extended XYZ:
```
28
Lattice="4.383 0.000 0.000 0.000 10.988 0.000 0.000 0.000 12.984" Properties=species:S:1:pos:R:3 pbc="T T T"
Al 0.000 0.120 2.267
Al 2.191 4.470 10.482
Al 0.000 5.391 6.492
Al 0.000 6.518 8.994
Al 0.000 0.120 10.717
Al 0.000 10.780 6.492
Al 2.191 4.470 2.502
Al 2.191 10.868 4.225
Al 2.191 5.598 0.000
Al 0.000 6.518 3.990
Al 2.191 0.208 0.000
Al 2.191 10.868 8.760
Au 0.000 9.304 4.250
Au 2.191 5.262 7.997
Au 0.000 9.304 8.734
Au 0.000 5.726 1.505
Au 0.000 9.886 0.000
Au 2.191 1.684 10.742
Au 2.191 5.262 4.987
Au 2.191 1.684 2.242
Au 0.000 5.726 11.479
Au 2.191 1.102 6.492
Sr 0.000 2.703 4.476
Sr 0.000 2.703 8.508
Sr 2.191 8.171 6.492
Sr 2.191 8.285 2.016
Sr 0.000 2.817 0.000
Sr 2.191 8.285 10.968
```

=====

This record from Alexandria via LeMat-Bulk describes Sr3Al3Au8 after structural relaxation. The functional is PBE.

## Properties
SG   C2/m

Cell and atoms, written as extended XYZ:
```
14
Lattice="-3.093 2.457 -2.391 -7.306 -0.109 4.881 -1.728 7.228 5.206" Properties=species:S:1:pos:R:3 pbc="T T T"
Au -2.625 4.667 3.733
Au -4.782 1.441 3.208
Au -9.503 4.910 3.963
Au -5.224 6.117 4.127
Au -7.345 8.136 4.488
Au -10.279 6.980 7.095
Au -1.848 2.597 0.602
Au -6.903 3.460 3.569
Al -4.517 3.560 5.044
Al -3.581 0.759 0.954
Al -8.546 8.818 6.742
Sr -7.553 5.406 6.410
Sr 0.000 0.000 0.000
Sr -4.574 4.171 1.287
```

=====

This record from Alexandria via LeMat-Bulk describes SrAlAu after structural relaxation. The functional is PBE.

## Properties
SG   P4/nmm

Cell and atoms, written as extended XYZ:
```
6
Lattice="4.478 -0.216 -0.041 0.216 4.478 -0.042 0.073 0.067 7.504" Properties=species:S:1:pos:R:3 pbc="T T T"
Al 1.658 3.873 6.852
Al 3.789 1.527 6.852
Au 3.838 3.711 0.749
Au 1.536 1.622 5.451
Sr 1.502 1.591 1.935
Sr 3.872 3.743 4.264
```

=====

This record from Alexandria via LeMat-Bulk describes Sr2Al3Au5 after structural relaxation. The functional is PBE.

## Properties
SG   P-4m2

Cell and atoms, written as extended XYZ:
```
10
Lattice="4.406 0.000 0.000 0.000 4.406 0.000 0.000 0.000 11.547" Properties=species:S:1:pos:R:3 pbc="T T T"
Au 0.000 0.000 0.000
Au 2.203 0.000 9.724
Au 2.203 2.203 0.000
Au 0.000 2.203 1.823
Au 2.203 2.203 5.773
Sr 0.000 2.203 8.736
Sr 2.203 0.000 2.811
Al 2.203 0.000 7.237
Al 0.000 2.203 4.309
Al 0.000 0.000 5.773
```

=====

This record from Alexandria via LeMat-Bulk describes SrAlAu2 after structural relaxation. The functional is PBE.

## Properties
SG   P2/m

Cell and atoms, written as extended XYZ:
```
4
Lattice="3.655 0.000 0.000 0.000 3.598 0.049 0.000 2.484 7.003" Properties=species:S:1:pos:R:3 pbc="T T T"
Au 0.000 3.298 3.873
Au 0.000 5.824 6.704
Al 1.827 4.561 5.289
Sr 1.827 1.520 1.763
```

=====

This record from Alexandria via LeMat-Bulk describes Sr2AlAu3 after structural relaxation. The functional is PBE.

## Properties
SG   Pmm2

Cell and atoms, written as extended XYZ:
```
6
Lattice="-3.776 1.427 -1.021 -1.421 -0.633 4.368 2.354 7.559 1.862" Properties=species:S:1:pos:R:3 pbc="T T T"
Au -1.095 5.223 2.862
Au 0.097 7.087 1.059
Au -1.437 2.160 -0.154
Al -1.835 2.848 2.277
Sr 1.214 3.898 0.960
Sr 1.613 7.143 4.021
```

=====

This record from Alexandria via LeMat-Bulk describes Sr3Al7Au4 after structural relaxation. The functional is PBE.

## Properties
SG   C2/m

Cell and atoms, written as extended XYZ:
```
14
Lattice="4.312 0.000 1.088 1.592 7.915 2.778 0.076 0.041 8.788" Properties=species:S:1:pos:R:3 pbc="T T T"
Al 4.349 2.941 10.031
Al 3.441 6.303 4.538
Al 0.000 0.000 0.000
Al 2.539 1.653 8.116
Al 3.223 1.351 5.403
Al 2.757 6.604 7.251
Al 1.631 5.015 2.623
Au 5.243 7.147 6.484
Au 0.737 0.808 6.170
Au 3.606 3.740 3.883
Au 2.374 4.216 8.770
Sr 4.337 6.389 10.079
Sr 0.834 3.978 5.783
Sr 1.644 1.567 2.574
```

=====

This record from Alexandria via LeMat-Bulk describes Sr2AlAu2 after structural relaxation. The functional is PBE.

## Properties
SG   I4/mmm

Cell and atoms, written as extended XYZ:
```
5
Lattice="-1.445 -2.154 -5.622 -2.439 -5.077 2.572 -5.407 -1.843 -1.313" Properties=species:S:1:pos:R:3 pbc="T T T"
Al 0.000 0.000 0.000
Au -3.146 -2.999 -1.452
Au -6.145 -6.074 -2.912
Sr -4.397 -3.806 -4.230
Sr -4.894 -5.268 -0.133
```

=====

This record from Alexandria via LeMat-Bulk describes Sr2Al7Au after structural relaxation. The functional is PBE.

## Properties
SG   P-4m2

Cell and atoms, written as extended XYZ:
```
10
Lattice="-2.825 2.491 2.258 0.953 -2.235 3.657 8.360 7.373 2.327" Properties=species:S:1:pos:R:3 pbc="T T T"
Al 0.000 0.000 0.000
Al 3.244 3.814 4.121
Al 5.812 3.588 3.313
Al 7.746 5.293 3.852
Al 4.180 3.686 1.163
Al -0.322 2.207 1.432
Al 1.613 3.913 1.971
Sr 2.549 0.710 2.406
Sr 4.875 6.790 2.879
Au -0.936 0.128 2.958
```

=====

This record from Alexandria via LeMat-Bulk describes Sr2AlAu2 after structural relaxation. The functional is PBE.

## Properties
SG   P4/mbm

Cell and atoms, written as extended XYZ:
```
10
Lattice="7.777 0.000 0.000 0.000 7.777 0.000 0.000 0.000 4.482" Properties=species:S:1:pos:R:3 pbc="T T T"
Au 2.834 6.723 0.000
Au 6.723 4.942 0.000
Au 1.054 2.834 0.000
Au 4.942 1.054 0.000
Sr 2.543 1.346 2.241
Sr 5.234 6.431 2.241
Sr 1.346 5.234 2.241
Sr 6.431 2.543 2.241
Al 0.000 0.000 0.000
Al 3.888 3.888 0.000
```

=====

This record from Alexandria via LeMat-Bulk describes SrAlAu4 after structural relaxation. The functional is PBE.

## Properties
SG   Cmcm

Cell and atoms, written as extended XYZ:
```
12
Lattice="4.300 0.000 -1.115 0.000 6.819 0.000 -0.049 0.000 8.656" Properties=species:S:1:pos:R:3 pbc="T T T"
Au 2.895 3.712 2.316
Au 2.150 0.000 -0.558
Au 1.355 0.303 5.225
Au 1.355 3.107 5.225
Au 2.895 6.516 2.316
Au 2.150 3.410 -0.558
Au 3.932 1.705 6.311
Au 0.319 5.114 1.230
Sr 3.786 5.114 5.749
Sr 0.465 1.705 1.792
Al 0.964 5.114 3.715
Al 3.287 1.705 3.826
```

=====

This record from Alexandria via LeMat-Bulk describes SrAlAu2 after structural relaxation. The functional is PBE.

## Properties
SG   Pmm2

Cell and atoms, written as extended XYZ:
```
4
Lattice="4.805 0.000 0.000 0.000 4.195 -0.013 0.000 0.013 5.115" Properties=species:S:1:pos:R:3 pbc="T T T"
Sr 0.000 2.103 2.294
Al 2.403 0.011 4.054
Au 0.000 4.207 4.892
Au 2.403 0.004 1.528
```

=====

no.,VASP energy (eV for the cell shown),DFT formation energy (eV/atom)
1,-13.0,-0.2529
2,-44.9,-0.4034
3,-42.0,-0.6733
4,-13.5,-0.3685
5,-107.9,-0.5881
6,-114.8,-0.4750
7,-13.0,-0.1440
8,-34.9,-0.4866
9,-104.6,-0.5996
10,-51.5,-0.6417
11,-21.1,-0.6194
12,-36.1,-0.5124
13,-13.8,-0.4616
14,-21.1,-0.6875
15,-51.6,-0.5142
16,-16.0,-0.4691
17,-36.2,-0.3362
18,-32.8,-0.5475
19,-42.9,-0.4832
20,-14.3,-0.5741